(1)
Entry from the Alexandria database: a geometry-optimized AuS structure (PBE).

Unit cell a=7.7322 b=7.7322 c=7.7322 alpha=90.00 beta=90.00 gamma=90.00
Last column: nearest neighbours and their distance in Å.
Fractional positions:
Au1 0.3205 0.3205 0.3205  1 S 2.27
Au2 0.3205 0.6795 0.6795  1 S 2.27
Au3 0.6795 0.3205 0.6795  1 S 2.27
Au4 0.6795 0.6795 0.3205  1 S 2.27
Au5 0.8205 0.8205 0.8205  1 S 2.27
Au6 0.8205 0.1795 0.1795  1 S 2.27
Au7 0.1795 0.8205 0.1795  1 S 2.27
Au8 0.1795 0.1795 0.8205  1 S 2.27
S1 0.1508 0.1508 0.1508  1 Au 2.27
S2 0.1508 0.8492 0.8492  1 Au 2.27
S3 0.8492 0.1508 0.8492  1 Au 2.27
S4 0.8492 0.8492 0.1508  1 Au 2.27
S5 0.6508 0.6508 0.6508  1 Au 2.27
S6 0.6508 0.3492 0.3492  1 Au 2.27
S7 0.3492 0.6508 0.3492  1 Au 2.27
S8 0.3492 0.3492 0.6508  1 Au 2.27

Calculated values
- Uncorrected energy: -3.4005 eV per atom
- DOS(E_F): 0.964 states/eV/atom
- Magnetization: 0.00 μB per atom



(2)
Entry from the Alexandria database: a geometry-optimized AuS structure (PBE).

Unit cell a=4.7911 b=4.8916 c=4.5844 alpha=90.00 beta=121.43 gamma=90.00
Last column: nearest neighbours and their distance in Å.
Fractional positions:
S1 0.2529 0.7500 0.0059  4 Au 2.47-2.51
S2 0.7471 0.2500 0.9941  4 Au 2.47-2.51
Au1 0.6753 0.7500 0.8503  4 S 2.47-2.51
Au2 0.3247 0.2500 0.1497  4 S 2.47-2.51

Calculated values
- Uncorrected energy: -3.5094 eV per atom
- DOS(E_F): 0.209 states/eV/atom
- Magnetization: 0.00 μB per atom



(3)
Entry from the Alexandria database: a geometry-optimized AuS structure (PBE).

Unit cell a=10.1418 b=12.5286 c=7.3510 alpha=90.00 beta=90.00 gamma=90.00
Last column: nearest neighbours and their distance in Å.
Fractional positions:
Au1 0.2029 0.0000 0.0000  2 S 2.33
Au2 0.7971 0.0000 0.0000  2 S 2.33
Au3 0.0471 0.7500 0.2500  2 S 2.33
Au4 0.4529 0.7500 0.2500  2 S 2.33
Au5 0.2029 0.5000 0.5000  2 S 2.33
Au6 0.7971 0.5000 0.5000  2 S 2.33
Au7 0.0471 0.2500 0.7500  2 S 2.33
Au8 0.4529 0.2500 0.7500  2 S 2.33
Au9 0.7029 0.0000 0.5000  2 S 2.33
Au10 0.2971 0.0000 0.5000  2 S 2.33
Au11 0.5471 0.7500 0.7500  2 S 2.33
Au12 0.9529 0.7500 0.7500  2 S 2.33
Au13 0.7029 0.5000 0.0000  2 S 2.33
Au14 0.2971 0.5000 0.0000  2 S 2.33
Au15 0.5471 0.2500 0.2500  2 S 2.33
Au16 0.9529 0.2500 0.2500  2 S 2.33
S1 0.0000 0.8579 0.0000  2 Au 2.33
S2 0.0000 0.1421 0.0000  2 Au 2.33
S3 0.2500 0.8921 0.2500  2 Au 2.33
S4 0.2500 0.6079 0.2500  2 Au 2.33
S5 0.0000 0.3579 0.5000  2 Au 2.33
S6 0.0000 0.6421 0.5000  2 Au 2.33
S7 0.2500 0.3921 0.7500  2 Au 2.33
S8 0.2500 0.1079 0.7500  2 Au 2.33
S9 0.5000 0.8579 0.5000  2 Au 2.33
S10 0.5000 0.1421 0.5000  2 Au 2.33
S11 0.7500 0.8921 0.7500  2 Au 2.33
S12 0.7500 0.6079 0.7500  2 Au 2.33
S13 0.5000 0.3579 0.0000  2 Au 2.33
S14 0.5000 0.6421 0.0000  2 Au 2.33
S15 0.7500 0.3921 0.2500  2 Au 2.33
S16 0.7500 0.1079 0.2500  2 Au 2.33

Calculated values
- Uncorrected energy: -3.4420 eV per atom
- DOS(E_F): 0.570 states/eV/atom
- Magnetization: 0.00 μB per atom



(4)
Entry from the Alexandria database: a geometry-optimized AuS structure (PBE).

Unit cell a=6.9673 b=6.9673 c=6.9673 alpha=90.00 beta=90.00 gamma=90.00
Last column: nearest neighbours and their distance in Å.
Fractional positions:
Au1 0.2500 0.5000 0.0000  4 S 2.46
Au2 0.7500 0.5000 0.0000  4 S 2.46
Au3 0.5000 0.0000 0.2500  4 S 2.46
Au4 0.5000 0.0000 0.7500  4 S 2.46
Au5 0.0000 0.2500 0.5000  4 S 2.46
Au6 0.0000 0.7500 0.5000  4 S 2.46
S1 0.2500 0.0000 0.5000  4 Au 2.46
S2 0.7500 0.0000 0.5000  4 Au 2.46
S3 0.0000 0.5000 0.2500  4 Au 2.46
S4 0.0000 0.5000 0.7500  4 Au 2.46
S5 0.5000 0.2500 0.0000  4 Au 2.46
S6 0.5000 0.7500 0.0000  4 Au 2.46

Calculated values
- Uncorrected energy: -3.4463 eV per atom
- DOS(E_F): 0.925 states/eV/atom
- Magnetization: 0.00 μB per atom



(5)
Entry from the Alexandria database: a geometry-optimized AuS structure (PBE).

Unit cell a=4.7741 b=4.7459 c=11.5647 alpha=90.00 beta=90.00 gamma=90.00
Last column: nearest neighbours and their distance in Å.
Fractional positions:
Au1 0.0000 0.7865 0.8370  4 S 2.40-2.46
Au2 0.5000 0.2135 0.6630  4 S 2.40-2.46
Au3 0.5000 0.2135 0.3370  4 S 2.40-2.46
Au4 0.0000 0.7865 0.1630  4 S 2.40-2.46
Au5 0.0000 0.7256 0.5000  4 S 2.57-2.61
Au6 0.5000 0.2745 0.0000  4 S 2.57-2.61
S1 0.0000 0.0868 0.6698  4 Au 2.40-2.61
S2 0.5000 0.9132 0.8302  4 Au 2.40-2.61
S3 0.5000 0.9132 0.1698  4 Au 2.40-2.61
S4 0.0000 0.0868 0.3302  4 Au 2.40-2.61
S5 0.0000 0.4736 0.0000  4 Au 2.40-2.57
S6 0.5000 0.5264 0.5000  4 Au 2.40-2.57

Calculated values
- Uncorrected energy: -3.5969 eV per atom
- DOS(E_F): 0.395 states/eV/atom
- Magnetization: 0.00 μB per atom



(6)
Entry from the Alexandria database: a geometry-optimized AuS4 structure (PBE).

Unit cell a=3.9008 b=8.2566 c=8.9040 alpha=82.26 beta=90.00 gamma=90.00
Last column: nearest neighbours and their distance in Å.
Fractional positions:
Au1 0.0000 0.0000 0.0000  2 S 2.32
Au2 0.5000 0.5000 0.0000  2 S 2.32
S1 0.9116 0.6727 0.6661  1 S 1.96
S2 0.4116 0.8273 0.3339  1 S 1.96
S3 0.0884 0.3273 0.3339  1 S 1.96
S4 0.5884 0.1727 0.6661  1 S 1.96
S5 0.5252 0.5311 0.7377  1 S 1.96
S6 0.0251 0.9690 0.2623  1 S 1.96
S7 0.4748 0.4689 0.2623  1 S 1.96
S8 0.9749 0.0310 0.7377  1 S 1.96

Calculated values
- Uncorrected energy: -3.6873 eV per atom
- DOS(E_F): 0.365 states/eV/atom
- Magnetization: 0.00 μB per atom